No. 1
{"formula": "Ni6GeIr2", "functional": "PBE", "state": "relaxed", "lattice": [[8.529, -3.375, -1.255], [-2.133, 6.916, 3.548], [-4.481, 3.996, 6.038]], "species": ["Ni", "Ni", "Ni", "Ni", "Ni", "Ni", "Ni", "Ni", "Ni", "Ni", "Ni", "Ni", "Ge", "Ge", "Ir", "Ir", "Ir", "Ir"], "frac_coords": [[0.416, 0.419, 0.254], [0.309, 0.635, 0.254], [0.357, 0.035, 0.745], [0.192, 0.851, 0.256], [0.584, 0.581, 0.746], [0.135, 0.469, 0.753], [0.808, 0.149, 0.744], [0.691, 0.365, 0.746], [0.643, 0.965, 0.255], [0.865, 0.531, 0.247], [0.970, 0.310, 0.240], [0.030, 0.690, 0.760], [0.256, 0.253, 0.745], [0.744, 0.747, 0.255], [0.529, 0.195, 0.249], [0.077, 0.082, 0.249], [0.923, 0.918, 0.751], [0.471, 0.805, 0.751]], "spacegroup": "P-1 (2)", "total_energy_ev_per_cell": -115.50, "vol_a3_per_cell": 217.2, "ef_ev_per_atom": -0.08, "magmom_total_mub_per_atom": 0.078}



No. 2
{"formula": "NaLi3In", "functional": "PBE", "state": "relaxed", "lattice": [[-4.273, 2.941, 2.428], [-0.549, 0.074, 5.700], [4.671, 9.720, 3.201]], "species": ["Li", "Li", "Li", "Li", "Li", "Li", "In", "In", "Na", "Na"], "frac_coords": [[0.744, 0.244, 0.267], [0.244, 0.744, 0.267], [0.244, 0.744, 0.767], [0.744, 0.744, 0.267], [0.244, 0.244, 0.767], [0.744, 0.244, 0.767], [0.744, 0.744, 0.768], [0.244, 0.244, 0.268], [0.994, 0.994, 0.017], [0.494, 0.494, 0.517]], "spacegroup": "R3m (160)", "total_energy_ev_per_cell": -18.28, "vol_a3_per_cell": 305.4, "de_polymorph_mev_per_atom": 53, "ef_ev_per_atom": 0.13, "magmom_total_mub_per_atom": 0.000}



No. 3
{"formula": "Pd2PtI8", "functional": "PBE", "state": "relaxed", "lattice": [[6.833, 0.261, 0.224], [1.234, 8.081, 0.860], [1.234, 2.102, 7.850]], "species": ["I", "I", "I", "I", "I", "I", "I", "I", "Pd", "Pd", "Pt"], "frac_coords": [[0.199, 0.281, 0.890], [0.801, 0.110, 0.719], [0.297, 0.402, 0.402], [0.703, 0.598, 0.598], [0.295, 0.814, 0.814], [0.801, 0.719, 0.110], [0.705, 0.186, 0.186], [0.199, 0.890, 0.281], [0.309, 0.212, 0.212], [0.691, 0.788, 0.788], [0.000, 0.000, 0.000]], "spacegroup": "C2/m (12)", "e_form_raw_ev_per_atom": 0.000, "total_energy_ev_per_cell": -28.82, "vol_a3_per_cell": 417.1, "de_polymorph_mev_per_atom": 128, "magmom_total_mub_per_atom": 0.000}



Number 1: DOS(E_F) 28.6 states/eV/cell. Number 2: DOS(E_F) 6.9 states/eV/cell. Number 3: DOS(E_F) 9.0 states/eV/cell.